Record 1
# Cs2Mg5Pb4 | Alexandria | PBE | relaxed
data_Cs2Mg5Pb4
_chemical_formula_sum 'Cs8 Mg20 Pb16'
_cell_length_a 7.129
_cell_length_b 14.258
_cell_length_c 15.848
_cell_angle_alpha 90.00
_cell_angle_beta 90.00
_cell_angle_gamma 90.00
_space_group_name_H-M_alt 'F m m m'
_space_group_IT_number 69
_space_group_name_Hall '-F 2 2'
loop_
_atom_site_label
_atom_site_type_symbol
_atom_site_fract_x
_atom_site_fract_y
_atom_site_fract_z
Cs1 Cs 0.000 0.151 0.000
Mg1 Mg 0.000 0.000 0.500
Mg2 Mg 0.250 0.000 0.250
Mg3 Mg 0.250 0.250 0.250
Pb1 Pb 0.000 0.128 0.355
# - Energy of formation: -32 meV/atom

***

Record 2
# TbZr2Mo | Alexandria | PBE | relaxed
data_TbZr2Mo
_chemical_formula_sum 'Tb1 Zr2 Mo1'
_cell_length_a 3.438
_cell_length_b 3.438
_cell_length_c 7.776
_cell_angle_alpha 90.00
_cell_angle_beta 90.00
_cell_angle_gamma 90.00
_space_group_name_H-M_alt 'P 4/m m m'
_space_group_IT_number 123
_space_group_name_Hall '-P 4 2'
loop_
_atom_site_label
_atom_site_type_symbol
_atom_site_fract_x
_atom_site_fract_y
_atom_site_fract_z
Tb1 Tb 0.000 0.000 0.000
Zr1 Zr 0.500 0.500 0.301
Mo1 Mo 0.000 0.000 0.500
# - Energy of formation: 69 meV/atom
# - Polymorph energy (0 for the lowest one): 0 meV/atom